Zr4PbS8 | PBE | optimized geometry

a = 7.757 Å, b = 7.757 Å, c = 7.757 Å
α = 60.00°, β = 60.00°, γ = 60.00°
Fractional positions:
Zr 0.896 0.368 0.368
Zr 0.368 0.896 0.368
Zr 0.368 0.368 0.896
Zr 0.368 0.368 0.368
Pb 0.750 0.750 0.750
S 0.599 0.134 0.134
S 0.134 0.599 0.134
S 0.134 0.134 0.599
S 0.134 0.134 0.134
S 0.177 0.608 0.608
S 0.608 0.177 0.608
S 0.608 0.608 0.177
S 0.608 0.608 0.608

- energy above the most stable polymorph in this dataset (meV per atom) = 72